[1]
This record from the Alexandria database describes a relaxed structure of DyMg2Ir. The functional is GGA-PBE.

Results
The total moment is 0.0 μB per cell. For the energy of formation from the pure elements, the calculation gives -190 kJ/mol of formula units. Its density of states at the Fermi level is 2.2 states/eV/f.u. As for the calculated volume: 689.53 Å³ per cell. Its total energy is -4.655 eV per atom. The density comes out at 7.77 Mg/m³.

Lattice parameters (Å, degrees): 15.318 8.403 5.357 90.00 90.00 90.00
Fractional positions:
Dy  0.107  0.250  0.245
Dy  0.137  0.750  0.048
Dy  0.363  0.250  0.548
Dy  0.393  0.750  0.745
Dy  0.607  0.250  0.255
Dy  0.637  0.750  0.452
Dy  0.863  0.250  0.952
Dy  0.893  0.750  0.755
Mg  0.042  0.056  0.733
Mg  0.042  0.444  0.733
Mg  0.211  0.557  0.536
Mg  0.211  0.943  0.536
Mg  0.289  0.057  0.036
Mg  0.289  0.443  0.036
Mg  0.458  0.556  0.233
Mg  0.458  0.944  0.233
Mg  0.542  0.056  0.767
Mg  0.542  0.444  0.767
Mg  0.711  0.557  0.964
Mg  0.711  0.943  0.964
Mg  0.789  0.057  0.464
Mg  0.789  0.443  0.464
Mg  0.958  0.556  0.267
Mg  0.958  0.944  0.267
Ir  0.066  0.750  0.549
Ir  0.189  0.250  0.734
Ir  0.311  0.750  0.234
Ir  0.434  0.250  0.049
Ir  0.566  0.750  0.951
Ir  0.689  0.250  0.766
Ir  0.811  0.750  0.266
Ir  0.934  0.250  0.451

---

[2]
This record from the Alexandria database describes a relaxed structure of DyMgIr. The functional is GGA-PBE.

Results
The total moment is 0.0 μB per cell. For the energy of formation from the pure elements, the calculation gives -138 kJ/mol of formula units. Its density of states at the Fermi level is 0.9 states/eV/f.u. As for the calculated volume: 63.64 Å³ per cell. Its total energy is -5.494 eV per atom. The density comes out at 9.89 Mg/m³.

Lattice parameters (Å, degrees): 6.223 6.223 6.223 149.03 149.03 44.37
Fractional positions:
Dy  0.000  0.000  0.000
Mg  0.727  0.727  0.000
Ir  0.358  0.358  0.000

---

[3]
This record from the Alexandria database describes a relaxed structure of Dy3MgIr8. The functional is GGA-PBE.

Results
The total moment is 0.0 μB per cell. For the energy of formation from the pure elements, the calculation gives -785 kJ/mol of formula units. Its density of states at the Fermi level is 12.5 states/eV/f.u. As for the calculated volume: 213.93 Å³ per cell. Its total energy is -7.869 eV per atom. The density comes out at 15.91 Mg/m³.

Lattice parameters (Å, degrees): 9.234 9.234 9.234 33.53 33.53 33.53
Fractional positions:
Dy  0.000  0.000  0.000
Dy  0.127  0.127  0.127
Dy  0.621  0.621  0.621
Mg  0.498  0.498  0.498
Ir  0.061  0.061  0.562
Ir  0.061  0.562  0.061
Ir  0.063  0.562  0.562
Ir  0.312  0.312  0.312
Ir  0.562  0.061  0.061
Ir  0.562  0.063  0.562
Ir  0.562  0.562  0.063
Ir  0.812  0.812  0.812

---

[4]
This record from the Alexandria database describes a relaxed structure of Dy3MgIr2. The functional is GGA-PBE.

Results
The total moment is 0.0 μB per cell. For the energy of formation from the pure elements, the calculation gives -378 kJ/mol of formula units. Its density of states at the Fermi level is 2.9 states/eV/f.u. As for the calculated volume: 304.43 Å³ per cell. Its total energy is -6.173 eV per atom. The density comes out at 9.78 Mg/m³.

Lattice parameters (Å, degrees): 8.138 8.138 8.138 132.05 72.70 128.88
Fractional positions:
Dy  0.027  0.750  0.277
Dy  0.250  0.250  0.000
Dy  0.473  0.750  0.723
Dy  0.527  0.250  0.277
Dy  0.750  0.750  0.000
Dy  0.973  0.250  0.723
Mg  0.000  0.500  0.500
Mg  0.500  0.000  0.500
Ir  0.138  0.209  0.347
Ir  0.362  0.709  0.071
Ir  0.638  0.291  0.929
Ir  0.862  0.791  0.653

---

[5]
This record from the Alexandria database describes a relaxed structure of Dy3Mg5Ir2. The functional is GGA-PBE.

Results
The total moment is 0.0 μB per cell. For the energy of formation from the pure elements, the calculation gives -246 kJ/mol of formula units. Its density of states at the Fermi level is 5.5 states/eV/f.u. As for the calculated volume: 472.79 Å³ per cell. Its total energy is -4.205 eV per atom. The density comes out at 6.98 Mg/m³.

Lattice parameters (Å, degrees): 9.320 9.320 9.320 99.17 93.18 141.74
Fractional positions:
Dy  0.170  0.240  0.410
Dy  0.250  0.250  0.000
Dy  0.330  0.740  0.070
Dy  0.670  0.260  0.930
Dy  0.750  0.750  0.000
Dy  0.830  0.760  0.590
Mg  0.020  0.750  0.270
Mg  0.074  0.682  0.756
Mg  0.250  0.750  0.500
Mg  0.426  0.182  0.607
Mg  0.480  0.750  0.730
Mg  0.520  0.250  0.270
Mg  0.574  0.818  0.393
Mg  0.750  0.250  0.500
Mg  0.926  0.318  0.244
Mg  0.980  0.250  0.730
Ir  0.152  0.872  0.024
Ir  0.348  0.372  0.720
Ir  0.652  0.628  0.280
Ir  0.848  0.128  0.976

---

[6]
This record from the Alexandria database describes a relaxed structure of DyMg8Ir2. The functional is GGA-PBE.

Results
The total moment is 0.0 μB per cell. For the energy of formation from the pure elements, the calculation gives -109 kJ/mol of formula units. Its density of states at the Fermi level is 7.4 states/eV/f.u. As for the calculated volume: 248.62 Å³ per cell. Its total energy is -3.292 eV per atom. The density comes out at 4.95 Mg/m³.

Lattice parameters (Å, degrees): 7.298 7.298 5.163 97.09 97.09 112.03
Fractional positions:
Dy  0.000  0.000  0.000
Mg  0.066  0.332  0.576
Mg  0.270  0.730  0.000
Mg  0.332  0.066  0.576
Mg  0.412  0.412  0.231
Mg  0.588  0.588  0.769
Mg  0.668  0.934  0.424
Mg  0.730  0.270  0.000
Mg  0.934  0.668  0.424
Ir  0.311  0.689  0.500
Ir  0.689  0.311  0.500

---

[7]
This record from the Alexandria database describes a relaxed structure of DyMgIr. The functional is GGA-PBE.

Results
The total moment is 0.0 μB per cell. For the energy of formation from the pure elements, the calculation gives -153 kJ/mol of formula units. Its density of states at the Fermi level is 0.9 states/eV/f.u. As for the calculated volume: 70.04 Å³ per cell. Its total energy is -5.548 eV per atom. The density comes out at 8.99 Mg/m³.

Lattice parameters (Å, degrees): 4.627 4.627 4.627 60.00 60.00 60.00
Fractional positions:
Dy  0.000  0.000  0.000
Mg  0.500  0.500  0.500
Ir  0.250  0.250  0.250

---

[8]
This record from the Alexandria database describes a relaxed structure of DyMgNiIr. The functional is GGA-PBE.

Results
The total moment is 0.0 μB per cell. For the energy of formation from the pure elements, the calculation gives -174 kJ/mol of formula units. Its density of states at the Fermi level is 2.1 states/eV/f.u. As for the calculated volume: 69.81 Å³ per cell. Its total energy is -5.660 eV per atom. The density comes out at 10.41 Mg/m³.

Lattice parameters (Å, degrees): 4.622 4.622 4.622 60.00 60.00 60.00
Fractional positions:
Dy  0.000  0.000  0.000
Mg  0.500  0.500  0.500
Ni  0.250  0.250  0.250
Ir  0.750  0.750  0.750

---

[9]
This record from the Alexandria database describes a relaxed structure of DyMgPa2Ir4. The functional is GGA-PBE.

Results
The total moment is 0.0 μB per cell. For the energy of formation from the pure elements, the calculation gives -538 kJ/mol of formula units. Its density of states at the Fermi level is 6.2 states/eV/f.u. As for the calculated volume: 160.46 Å³ per cell. Its total energy is -8.276 eV per atom. The density comes out at 14.67 Mg/m³.

Lattice parameters (Å, degrees): 8.879 8.879 8.879 30.57 30.57 30.57
Fractional positions:
Dy  0.000  0.000  0.000
Mg  0.500  0.500  0.500
Pa  0.244  0.244  0.244
Pa  0.756  0.756  0.756
Ir  0.123  0.123  0.123
Ir  0.392  0.392  0.392
Ir  0.608  0.608  0.608
Ir  0.877  0.877  0.877

---

[10]
This record from the Alexandria database describes a relaxed structure of DyMgIrPd. The functional is GGA-PBE.

Results
The total moment is 0.0 μB per cell. For the energy of formation from the pure elements, the calculation gives -273 kJ/mol of formula units. Its density of states at the Fermi level is 1.8 states/eV/f.u. As for the calculated volume: 73.66 Å³ per cell. Its total energy is -5.771 eV per atom. The density comes out at 10.94 Mg/m³.

Lattice parameters (Å, degrees): 4.705 4.705 4.705 60.00 60.00 60.00
Fractional positions:
Dy  0.000  0.000  0.000
Mg  0.500  0.500  0.500
Ir  0.750  0.750  0.750
Pd  0.250  0.250  0.250

---

[11]
This record from the Alexandria database describes a relaxed structure of PmDyMgIr. The functional is GGA-PBE.

Results
The total moment is 0.0 μB per cell. For the energy of formation from the pure elements, the calculation gives -150 kJ/mol of formula units. Its density of states at the Fermi level is 2.6 states/eV/f.u. As for the calculated volume: 93.41 Å³ per cell. Its total energy is -5.342 eV per atom. The density comes out at 9.32 Mg/m³.

Lattice parameters (Å, degrees): 5.093 5.093 5.093 60.00 60.00 60.00
Fractional positions:
Pm  0.000  0.000  0.000
Dy  0.500  0.500  0.500
Mg  0.250  0.250  0.250
Ir  0.750  0.750  0.750

---

[12]
This record from the Alexandria database describes a relaxed structure of DyMgIrPt. The functional is GGA-PBE.

Results
The total moment is 0.0 μB per cell. For the energy of formation from the pure elements, the calculation gives -299 kJ/mol of formula units. Its density of states at the Fermi level is 2.6 states/eV/f.u. As for the calculated volume: 73.43 Å³ per cell. Its total energy is -6.051 eV per atom. The density comes out at 12.98 Mg/m³.

Lattice parameters (Å, degrees): 4.700 4.700 4.700 60.00 60.00 60.00
Fractional positions:
Dy  0.000  0.000  0.000
Mg  0.500  0.500  0.500
Ir  0.250  0.250  0.250
Pt  0.750  0.750  0.750